Compound: Er2PaGa9
Source: Alexandria via LeMat-Bulk
Functional: PBE
Structure: optimized geometry

## Properties
E_tot, eV per atom: -4.30
Space group: P4/mmm (123)
Formation energy, eV per atom: -0.481

a = 4.263 Å, b = 4.263 Å, c = 12.783 Å
α = 90.00°, β = 90.00°, γ = 90.00°
Sites, in units of the cell vectors:
Ga1 0.500 0.000 0.168
Ga2 0.500 0.500 0.666
Er1 0.000 0.000 0.334
Ga3 0.500 0.500 0.000
Ga4 0.500 0.000 0.832
Ga5 0.000 0.500 0.500
Ga6 0.500 0.000 0.500
Ga7 0.000 0.500 0.832
Pa1 0.000 0.000 0.000
Ga8 0.500 0.500 0.334
Er2 0.000 0.000 0.666
Ga9 0.000 0.500 0.168


Compound: ErPaGa5
Source: Alexandria via LeMat-Bulk
Functional: PBE
Structure: optimized geometry

## Properties
E_tot, eV per atom: -4.32
Space group: Cmmm (65)
Formation energy, eV per atom: -0.152

a = 5.273 Å, b = 5.273 Å, c = 6.035 Å
α = 90.00°, β = 90.00°, γ = 113.53°
Sites, in units of the cell vectors:
Ga1 0.500 0.500 0.500
Pa1 0.500 0.500 0.000
Er1 0.000 0.000 0.500
Ga2 0.500 0.000 0.749
Ga3 0.000 0.500 0.251
Ga4 0.000 0.500 0.749
Ga5 0.500 0.000 0.251


Compound: ErPaGaPb
Source: Alexandria via LeMat-Bulk
Functional: PBE
Structure: optimized geometry

## Properties
E_tot, eV per atom: -5.31
Space group: F-43m (216)
Formation energy, eV per atom: -0.107

a = 5.243 Å, b = 5.243 Å, c = 5.243 Å
α = 60.00°, β = 60.00°, γ = 60.00°
Site moments in Bohr magnetons follow the coordinates.
Sites, in units of the cell vectors:
Er1 0.000 0.000 0.000  0.28
Pb1 0.750 0.750 0.750  0.02
Pa1 0.500 0.500 0.500  1.13
Ga1 0.250 0.250 0.250  0.03


Compound: ErPaGaPd
Source: Alexandria via LeMat-Bulk
Functional: PBE
Structure: optimized geometry

## Properties
E_tot, eV per atom: -5.94
Space group: F-43m (216)
Formation energy, eV per atom: -0.375

a = 5.007 Å, b = 5.007 Å, c = 5.007 Å
α = 60.00°, β = 60.00°, γ = 60.00°
Site moments in Bohr magnetons follow the coordinates.
Sites, in units of the cell vectors:
Ga1 0.500 0.500 0.500  -0.01
Pd1 0.000 0.000 0.000  0.00
Pa1 0.750 0.750 0.750  0.64
Er1 0.250 0.250 0.250  0.17


Compound: ErPaGaRe
Source: Alexandria via LeMat-Bulk
Functional: PBE
Structure: optimized geometry

## Properties
E_tot, eV per atom: -7.49
Space group: F-43m (216)
Formation energy, eV per atom: -0.108

a = 4.936 Å, b = 4.936 Å, c = 4.936 Å
α = 60.00°, β = 60.00°, γ = 60.00°
Sites, in units of the cell vectors:
Pa1 0.000 0.000 0.000
Ga1 0.250 0.250 0.250
Er1 0.500 0.500 0.500
Re1 0.750 0.750 0.750


Compound: ErPaGaSn
Source: Alexandria via LeMat-Bulk
Functional: PBE
Structure: optimized geometry

## Properties
E_tot, eV per atom: -5.53
Space group: F-43m (216)
Formation energy, eV per atom: -0.257

a = 5.187 Å, b = 5.187 Å, c = 5.187 Å
α = 60.00°, β = 60.00°, γ = 60.00°
Site moments in Bohr magnetons follow the coordinates.
Sites, in units of the cell vectors:
Er1 0.000 0.000 0.000  0.26
Ga1 0.250 0.250 0.250  0.04
Sn1 0.750 0.750 0.750  0.04
Pa1 0.500 0.500 0.500  1.05


Compound: ErPaGaTc
Source: Alexandria via LeMat-Bulk
Functional: PBE
Structure: optimized geometry

## Properties
E_tot, eV per atom: -7.05
Space group: F-43m (216)
Formation energy, eV per atom: -0.192

a = 4.930 Å, b = 4.930 Å, c = 4.930 Å
α = 60.00°, β = 60.00°, γ = 60.00°
Sites, in units of the cell vectors:
Tc1 0.750 0.750 0.750
Ga1 0.250 0.250 0.250
Er1 0.500 0.500 0.500
Pa1 0.000 0.000 0.000


Compound: ErPaZnGa
Source: Alexandria via LeMat-Bulk
Functional: PBE
Structure: optimized geometry

## Properties
E_tot, eV per atom: -4.79
Space group: F-43m (216)
Formation energy, eV per atom: -0.199

a = 5.002 Å, b = 5.002 Å, c = 5.002 Å
α = 60.00°, β = 60.00°, γ = 60.00°
Sites, in units of the cell vectors:
Zn1 0.750 0.750 0.750
Er1 0.500 0.500 0.500
Pa1 0.000 0.000 0.000
Ga1 0.250 0.250 0.250


Compound: Er2Ga2Pb
Source: Alexandria via LeMat-Bulk
Functional: PBE
Structure: optimized geometry

## Properties
E above lowest polymorph, meV/atom: 0
E_tot, eV per atom: -4.32
Space group: Cmmm (65)
Formation energy, eV per atom: -0.541

a = 3.498 Å, b = 4.378 Å, c = 7.883 Å
α = 106.12°, β = 90.00°, γ = 90.00°
Sites, in units of the cell vectors:
Er1 0.500 0.627 0.254
Er2 0.500 0.373 0.746
Ga1 0.000 0.204 0.407
Ga2 0.000 0.796 0.593
Pb1 0.000 0.000 0.000


Compound: Er2Ga2Pb
Source: Alexandria via LeMat-Bulk
Functional: PBE
Structure: optimized geometry

## Properties
E above lowest polymorph, meV/atom: 2
E_tot, eV per atom: -4.32
Space group: P4/mbm (127)
Formation energy, eV per atom: -0.539

a = 4.329 Å, b = 7.386 Å, c = 7.386 Å
α = 90.00°, β = 90.00°, γ = 90.00°
Sites, in units of the cell vectors:
Er1 0.500 0.672 0.828
Er2 0.500 0.172 0.672
Ga1 0.000 0.622 0.122
Pb1 0.000 0.500 0.500
Ga2 0.000 0.122 0.378
Ga3 0.000 0.378 0.878
Ga4 0.000 0.878 0.622
Er3 0.500 0.828 0.328
Pb2 0.000 0.000 0.000
Er4 0.500 0.328 0.172


Compound: Er7GaPb4
Source: Alexandria via LeMat-Bulk
Functional: PBE
Structure: optimized geometry

## Properties
E_tot, eV per atom: -4.36
Space group: C2/m (12)
Formation energy, eV per atom: -0.211

a = 5.449 Å, b = 9.212 Å, c = 8.167 Å
α = 80.01°, β = 70.51°, γ = 72.80°
Sites, in units of the cell vectors:
Pb1 0.721 0.659 0.900
Er1 0.923 0.303 0.851
Er2 0.646 0.432 0.275
Ga1 0.000 0.000 0.000
Er3 0.354 0.568 0.725
Pb2 0.580 0.218 0.622
Er4 0.209 0.136 0.446
Er5 0.791 0.864 0.554
Er6 0.500 0.000 0.000
Pb3 0.279 0.341 0.100
Er7 0.077 0.697 0.149
Pb4 0.420 0.782 0.378


Compound: Er6Ga2Pb
Source: Alexandria via LeMat-Bulk
Functional: PBE
Structure: optimized geometry

## Properties
E_tot, eV per atom: -4.55
Space group: Immm (71)
Formation energy, eV per atom: -0.428

a = 8.589 Å, b = 8.589 Å, c = 8.589 Å
α = 104.01°, β = 112.34°, γ = 112.20°
Sites, in units of the cell vectors:
Er1 0.299 0.979 0.680
Er2 0.464 0.279 0.185
Er3 0.206 0.760 0.966
Ga1 0.645 0.000 0.645
Ga2 0.500 0.620 0.120
Er4 0.794 0.760 0.554
Er5 0.701 0.021 0.320
Er6 0.906 0.721 0.185
Pb1 0.000 0.500 0.500
Er7 0.094 0.279 0.815
Pb2 0.000 0.000 0.000
Er8 0.299 0.619 0.320
Er9 0.794 0.240 0.034
Ga3 0.500 0.380 0.880
Er10 0.536 0.721 0.815
Ga4 0.355 0.000 0.355
Er11 0.701 0.381 0.680
Er12 0.206 0.240 0.446


Compound: Er2GaPb
Source: Alexandria via LeMat-Bulk
Functional: PBE
Structure: optimized geometry

## Properties
E_tot, eV per atom: -4.36
Space group: R-3m (166)
Formation energy, eV per atom: -0.398

a = 3.665 Å, b = 3.665 Å, c = 9.420 Å
α = 78.78°, β = 78.78°, γ = 60.00°
Sites, in units of the cell vectors:
Er1 0.259 0.259 0.222
Ga1 0.000 0.000 0.000
Pb1 0.500 0.500 0.500
Er2 0.741 0.741 0.778


Compound: Er4GaPb
Source: Alexandria via LeMat-Bulk
Functional: PBE
Structure: optimized geometry

## Properties
E above lowest polymorph, meV/atom: 0
E_tot, eV per atom: -4.53
Space group: F-43m (216)
Formation energy, eV per atom: -0.367

a = 9.806 Å, b = 9.806 Å, c = 9.806 Å
α = 60.00°, β = 60.00°, γ = 60.00°
Sites, in units of the cell vectors:
Er1 0.361 0.361 0.361
Er2 0.811 0.811 0.189
Er3 0.559 0.559 0.941
Er4 0.361 0.918 0.361
Ga1 0.565 0.145 0.145
Er5 0.941 0.941 0.559
Ga2 0.145 0.145 0.145
Er6 0.559 0.941 0.559
Pb1 0.593 0.593 0.220
Pb2 0.220 0.593 0.593
Er7 0.811 0.189 0.189
Ga3 0.145 0.565 0.145
Er8 0.941 0.559 0.941
Er9 0.189 0.811 0.189
Er10 0.559 0.941 0.941
Er11 0.189 0.189 0.811
Er12 0.189 0.811 0.811
Er13 0.361 0.361 0.918
Ga4 0.145 0.145 0.565
Er14 0.811 0.189 0.811
Er15 0.941 0.559 0.559
Pb3 0.593 0.593 0.593
Er16 0.918 0.361 0.361
Pb4 0.593 0.220 0.593


Compound: Er4GaPb
Source: Alexandria via LeMat-Bulk
Functional: PBE
Structure: optimized geometry

## Properties
E above lowest polymorph, meV/atom: 144
E_tot, eV per atom: -4.39
Space group: P4/mmm (123)
Formation energy, eV per atom: -0.223

a = 5.006 Å, b = 5.007 Å, c = 7.165 Å
α = 89.98°, β = 89.99°, γ = 90.00°
Sites, in units of the cell vectors:
Ga1 0.001 0.997 0.498
Er1 0.001 0.497 0.730
Pb1 0.501 0.497 0.998
Er2 0.001 0.497 0.266
Er3 0.501 0.998 0.730
Er4 0.501 0.997 0.266


Compound: Er2GaPb
Source: Alexandria via LeMat-Bulk
Functional: PBE
Structure: optimized geometry

## Properties
E_tot, eV per atom: -4.50
Space group: P2_1/m (11)
Formation energy, eV per atom: -0.531

a = 4.163 Å, b = 6.031 Å, c = 8.915 Å
α = 112.23°, β = 90.00°, γ = 90.00°
Sites, in units of the cell vectors:
Pb1 0.250 0.322 0.210
Er1 0.750 0.213 0.441
Er2 0.250 0.787 0.559
Ga1 0.250 0.322 0.708
Er3 0.750 0.237 0.925
Er4 0.250 0.763 0.075
Pb2 0.750 0.678 0.790
Ga2 0.750 0.678 0.292


Compound: Er2GaPb
Source: Alexandria via LeMat-Bulk
Functional: PBE
Structure: optimized geometry

## Properties
E_tot, eV per atom: -4.44
Space group: P4/mmm (123)
Formation energy, eV per atom: -0.471

a = 3.422 Å, b = 3.422 Å, c = 8.537 Å
α = 90.00°, β = 90.00°, γ = 90.00°
Sites, in units of the cell vectors:
Ga1 0.500 0.500 0.000
Er1 0.000 0.000 0.777
Er2 0.000 0.000 0.223
Pb1 0.500 0.500 0.500


Compound: Er2GaPb
Source: Alexandria via LeMat-Bulk
Functional: PBE
Structure: optimized geometry

## Properties
E_tot, eV per atom: -4.40
Space group: P4/mmm (123)
Formation energy, eV per atom: -0.436

a = 4.226 Å, b = 4.872 Å, c = 4.872 Å
α = 90.00°, β = 90.00°, γ = 90.00°
Sites, in units of the cell vectors:
Er1 0.000 0.000 0.500
Pb1 0.500 0.000 0.000
Ga1 0.500 0.500 0.500
Er2 0.000 0.500 0.000


Compound: Er4Ga3Pb
Source: Alexandria via LeMat-Bulk
Functional: PBE
Structure: optimized geometry

## Properties
E_tot, eV per atom: -4.45
Space group: Pmm2 (25)
Formation energy, eV per atom: -0.565

a = 4.387 Å, b = 4.109 Å, c = 10.951 Å
α = 90.00°, β = 90.00°, γ = 90.00°
Sites, in units of the cell vectors:
Ga1 0.500 0.000 0.905
Pb1 0.500 0.500 0.083
Er1 0.000 0.000 0.147
Ga2 0.000 0.500 0.578
Er2 0.500 0.000 0.636
Er3 0.500 0.500 0.373
Er4 0.000 0.500 0.853
Ga3 0.000 0.000 0.424


Compound: Er8Ga2Pb
Source: Alexandria via LeMat-Bulk
Functional: PBE
Structure: optimized geometry

## Properties
E_tot, eV per atom: -4.50
Space group: C2/m (12)
Formation energy, eV per atom: -0.293

a = 4.867 Å, b = 7.863 Å, c = 8.673 Å
α = 110.68°, β = 106.30°, γ = 90.00°
Sites, in units of the cell vectors:
Pb1 0.500 0.000 0.000
Er1 0.833 0.755 0.666
Ga1 0.784 0.340 0.567
Er2 0.398 0.538 0.796
Er3 0.680 0.948 0.360
Ga2 0.216 0.660 0.433
Er4 0.602 0.462 0.204
Er5 0.167 0.245 0.334
Er6 0.051 0.730 0.102
Er7 0.320 0.052 0.640
Er8 0.949 0.270 0.898


Compound: Er3GaPb2
Source: Alexandria via LeMat-Bulk
Functional: PBE
Structure: optimized geometry

## Properties
E_tot, eV per atom: -4.43
Space group: C2/c (15)
Formation energy, eV per atom: -0.412

a = 6.245 Å, b = 6.357 Å, c = 8.729 Å
α = 100.43°, β = 110.96°, γ = 90.00°
Sites, in units of the cell vectors:
Pb1 0.775 0.068 0.332
Er1 0.630 0.250 0.000
Er2 0.272 0.091 0.321
Er3 0.370 0.750 0.000
Ga1 0.885 0.750 0.000
Er4 0.050 0.591 0.321
Pb2 0.443 0.432 0.668
Pb3 0.225 0.932 0.668
Pb4 0.557 0.568 0.332
Er5 0.728 0.909 0.679
Ga2 0.115 0.250 0.000
Er6 0.950 0.409 0.679


Compound: Er6Ga5Pb
Source: Alexandria via LeMat-Bulk
Functional: PBE
Structure: optimized geometry

## Properties
E_tot, eV per atom: -4.27
Space group: C2/m (12)
Formation energy, eV per atom: -0.418

a = 6.463 Å, b = 8.819 Å, c = 6.994 Å
α = 50.92°, β = 81.81°, γ = 76.94°
Sites, in units of the cell vectors:
Ga1 0.500 0.868 0.265
Er1 0.224 0.284 0.000
Er2 0.727 0.098 0.347
Pb1 0.000 0.000 0.000
Er3 0.273 0.555 0.347
Ga2 0.500 0.500 0.000
Er4 0.776 0.716 0.000
Er5 0.273 0.902 0.653
Ga3 0.500 0.132 0.735
Er6 0.727 0.445 0.653
Ga4 0.000 0.306 0.388
Ga5 0.000 0.694 0.612


Compound: Er5Ga2Pb2
Source: Alexandria via LeMat-Bulk
Functional: PBE
Structure: optimized geometry

## Properties
E_tot, eV per atom: -4.57
Space group: Cmce (64)
Formation energy, eV per atom: -0.535

a = 7.779 Å, b = 7.934 Å, c = 8.722 Å
α = 117.05°, β = 90.00°, γ = 90.00°
Sites, in units of the cell vectors:
Er1 0.826 0.806 0.259
Ga1 0.877 0.379 0.000
Er2 0.326 0.694 0.741
Pb1 0.000 0.214 0.428
Er3 0.500 0.500 0.000
Ga2 0.123 0.621 0.000
Er4 0.826 0.548 0.741
Pb2 0.500 0.714 0.428
Er5 0.000 0.000 0.000
Er6 0.174 0.194 0.741
Er7 0.674 0.048 0.741
Er8 0.326 0.952 0.259
Er9 0.674 0.306 0.259
Pb3 0.000 0.786 0.572
Pb4 0.500 0.286 0.572
Er10 0.174 0.452 0.259
Ga3 0.623 0.879 0.000
Ga4 0.377 0.121 0.000


Compound: Er3GaPb
Source: Alexandria via LeMat-Bulk
Functional: PBE
Structure: optimized geometry

## Properties
E_tot, eV per atom: -4.16
Space group: Cm (8)
Formation energy, eV per atom: -0.072

a = 7.361 Å, b = 7.367 Å, c = 7.951 Å
α = 62.45°, β = 62.37°, γ = 59.97°
Sites, in units of the cell vectors:
Er1 0.476 0.083 0.401
Pb1 0.445 0.570 0.460
Ga1 0.047 0.174 0.650
Er2 0.958 0.602 0.400
Er3 0.957 0.084 0.401
Er4 0.160 0.743 0.853
Pb2 0.668 0.794 0.787
Ga2 0.897 0.023 0.101
Er5 0.160 0.288 0.853
Er6 0.615 0.287 0.855